Entry 1:
The following is a DFT calculation (PBE-GGA) of an optimized crystal structure of Ho3Er6TmTh2.

Unit cell a=6.1098 b=10.5754 c=11.6614 alpha=90.00 beta=100.07 gamma=90.00
Space group C2/m (No. 12)
Inequivalent atoms, fractional coordinates:
Ho1 0.0000 0.0000 0.0000
Ho2 0.0000 0.3336 0.0000
Er1 0.2466 0.0000 0.7486
Er2 0.2491 0.1680 0.2516
Tm1 0.0000 0.5000 0.5000
Th1 0.0000 0.1666 0.5000

Calculated values
* energy relative to the elements: 0.022 eV per atom



Entry 2:
The following is a DFT calculation (PBE-GGA) of an optimized crystal structure of Ca2Mg2Sb2H.

Unit cell a=4.4905 b=4.4905 c=15.8706 alpha=90.00 beta=90.00 gamma=90.00
Space group I4/mmm (No. 139)
Inequivalent atoms, fractional coordinates:
Ca1 0.0000 0.0000 0.1675
Mg1 0.0000 0.5000 0.0000
Sb1 0.0000 0.0000 0.3687
H1 0.0000 0.0000 0.0000

Calculated values
* raw total energy: -3.332 eV per atom



Entry 3:
The following is a DFT calculation (PBE-GGA) of an optimized crystal structure of Mn2CoB.

Unit cell a=3.4762 b=3.4762 c=3.2528 alpha=90.00 beta=90.00 gamma=90.00
Space group P4/mmm (No. 123)
Inequivalent atoms, fractional coordinates:
Mn1 0.0000 0.5000 0.0000
Co1 0.0000 0.0000 0.5000
B1 0.5000 0.5000 0.5000

Calculated values
* energy relative to the elements: 0.123 eV per atom